# NiSn2O6F6

NiSn2O6F6 after structural relaxation (PBE with a Hubbard U, the Alexandria database).

abc: 5.5786 7.4850 6.6897
angles: 102.37 91.49 91.99
Closest atoms and distances in Å follow each position.
Sites, in units of the cell vectors:
Ni  0.0000  0.0000  0.0000  2 O 1.86
Sn  0.4708  0.1466  0.3299  1 O 1.90, 3 F 1.92-2.05
Sn  0.5292  0.8534  0.6701  1 O 1.90, 3 F 1.92-2.05
O  0.1468  0.1465  0.2343  1 Ni 1.86, 1 Sn 1.90
O  0.8532  0.8535  0.7657  1 Ni 1.86, 1 Sn 1.90
O  0.9818  0.3301  0.8309  1 O 1.23
O  0.0182  0.6699  0.1691  1 O 1.23
O  0.8771  0.5764  0.2464  1 O 1.23
O  0.1229  0.4236  0.7536  1 O 1.23
F  0.6795  0.1323  0.0836  1 Sn 2.03, 1 Ni 2.10
F  0.3205  0.8677  0.9164  1 Sn 2.03, 1 Ni 2.10
F  0.6401  0.9184  0.3742  2 Sn 2.05-2.23
F  0.3599  0.0816  0.6258  2 Sn 2.05-2.23
F  0.6537  0.3465  0.4996  1 Sn 1.92
F  0.3463  0.6535  0.5004  1 Sn 1.92

- Crystal system: triclinic
- Total magnetic moment: 6.00 μB/cell
- Space group: P-1 (2)
- DFT total energy: -71.83 eV per cell